1) Crystalline NaSb3Os at its relaxed geometry. Source: Alexandria, functional PBE.

Output
Crystal system ... cubic
Space-group type ... Pm-3m

Lattice parameters (Å, degrees): 5.2460 5.2460 5.2460 90.00 90.00 90.00
Positions (direct):
Na 0.0000 0.0000 0.0000
Sb 0.0000 0.5000 0.5000
Sb 0.5000 0.0000 0.5000
Sb 0.5000 0.5000 0.0000
Os 0.5000 0.5000 0.5000

***

2) Crystalline NaSb3Os at its relaxed geometry. Source: Alexandria, functional PBE.

Output
Crystal system ... cubic
Space-group type ... Pm-3m

Lattice parameters (Å, degrees): 5.1659 5.1659 5.1659 90.00 90.00 90.00
Positions (direct):
Na 0.0000 0.0000 0.0000
Sb 0.0000 0.0000 0.5000
Sb 0.0000 0.5000 0.0000
Sb 0.5000 0.0000 0.0000
Os 0.5000 0.5000 0.5000

***

Which of them is most stable? Easy: 1).

***

1) Crystalline NaSb2Os at its relaxed geometry. Source: Alexandria, functional PBE.

Output
Crystal system ... tetragonal
Space-group type ... I-42d

Lattice parameters (Å, degrees): 7.5462 7.5462 7.5462 125.34 125.34 80.97
Positions (direct):
Na 0.0000 0.0000 0.0000
Na 0.7500 0.2500 0.5000
Sb 0.2090 0.6250 0.0840
Sb 0.3750 0.4590 0.5840
Sb 0.5410 0.1250 0.9160
Sb 0.8750 0.7910 0.4160
Os 0.2500 0.7500 0.5000
Os 0.5000 0.5000 0.0000

***

2) Crystalline NaSb2Os at its relaxed geometry. Source: Alexandria, functional PBE.

Output
Crystal system ... cubic
Space-group type ... Fm-3m

Lattice parameters (Å, degrees): 4.7936 4.7936 4.7936 60.00 60.00 60.00
Positions (direct):
Na 0.0000 0.0000 0.0000
Sb 0.2500 0.2500 0.2500
Sb 0.7500 0.7500 0.7500
Os 0.5000 0.5000 0.5000

***

Which of them is most stable? Easy: 2).

***

1) Crystalline NaSbTe2Os at its relaxed geometry. Source: Alexandria, functional PBE.

Output
Crystal system ... tetragonal
Space-group type ... P4/mmm

Lattice parameters (Å, degrees): 5.5345 5.5345 5.0091 90.00 90.00 90.00
Positions (direct):
Na 0.0000 0.0000 0.0000
Sb 0.5000 0.5000 0.0000
Te 0.0000 0.5000 0.5000
Te 0.5000 0.0000 0.5000
Os 0.5000 0.5000 0.5000

***

2) Crystalline NaSbTe2Os at its relaxed geometry. Source: Alexandria, functional PBE.

Output
Crystal system ... tetragonal
Space-group type ... P4/mmm

Lattice parameters (Å, degrees): 5.3229 5.3229 5.2381 90.00 90.00 90.00
Positions (direct):
Na 0.0000 0.0000 0.0000
Sb 0.0000 0.0000 0.5000
Te 0.0000 0.5000 0.0000
Te 0.5000 0.0000 0.0000
Os 0.5000 0.5000 0.5000

***

Which of them is most stable? Easy: 1).

***

1) Crystalline Na3ScOs at its relaxed geometry. Source: Alexandria, functional PBE.

Output
Crystal system ... cubic
Space-group type ... Pm-3m

Lattice parameters (Å, degrees): 5.3242 5.3242 5.3242 90.00 90.00 90.00
Positions (direct):
Na 0.0000 0.0000 0.5000
Na 0.0000 0.5000 0.0000
Na 0.5000 0.0000 0.0000
Sc 0.5000 0.5000 0.5000
Os 0.0000 0.0000 0.0000

***

2) Crystalline Na3ScOs at its relaxed geometry. Source: Alexandria, functional PBE.

Output
Crystal system ... cubic
Space-group type ... Pm-3m

Lattice parameters (Å, degrees): 5.4894 5.4894 5.4894 90.00 90.00 90.00
Positions (direct):
Na 0.0000 0.0000 0.5000
Na 0.0000 0.5000 0.0000
Na 0.5000 0.0000 0.0000
Sc 0.0000 0.0000 0.0000
Os 0.5000 0.5000 0.5000

***

Which of them is most stable? Easy: 1).

***

1) Crystalline NaSc3Os at its relaxed geometry. Source: Alexandria, functional PBE.

Output
Crystal system ... cubic
Space-group type ... Pm-3m

Lattice parameters (Å, degrees): 5.1257 5.1257 5.1257 90.00 90.00 90.00
Positions (direct):
Na 0.0000 0.0000 0.0000
Sc 0.0000 0.5000 0.5000
Sc 0.5000 0.0000 0.5000
Sc 0.5000 0.5000 0.0000
Os 0.5000 0.5000 0.5000

***

2) Crystalline NaSc3Os at its relaxed geometry. Source: Alexandria, functional PBE.

Output
Crystal system ... cubic
Space-group type ... Pm-3m

Lattice parameters (Å, degrees): 4.8153 4.8153 4.8153 90.00 90.00 90.00
Positions (direct):
Na 0.0000 0.0000 0.0000
Sc 0.0000 0.0000 0.5000
Sc 0.0000 0.5000 0.0000
Sc 0.5000 0.0000 0.0000
Os 0.5000 0.5000 0.5000

***

Which of them is most stable? Easy: 1).

***

1) Crystalline NaSc2Os at its relaxed geometry. Source: Alexandria, functional PBE.

Output
Crystal system ... tetragonal
Space-group type ... P4/mmm

Lattice parameters (Å, degrees): 3.2170 3.2170 9.0438 90.00 90.00 90.00
Positions (direct):
Na 0.0000 0.0000 0.0000
Sc 0.5000 0.5000 0.3292
Sc 0.5000 0.5000 0.6708
Os 0.0000 0.0000 0.5000

***

2) Crystalline NaSc2Os at its relaxed geometry. Source: Alexandria, functional PBE.

Output
Crystal system ... cubic
Space-group type ... Fm-3m

Lattice parameters (Å, degrees): 4.7482 4.7482 4.7482 60.00 60.00 60.00
Positions (direct):
Na 0.0000 0.0000 0.0000
Sc 0.2500 0.2500 0.2500
Sc 0.7500 0.7500 0.7500
Os 0.5000 0.5000 0.5000

***

3) Crystalline NaSc2Os at its relaxed geometry. Source: Alexandria, functional PBE.

Output
Crystal system ... trigonal
Space-group type ... R-3m

Lattice parameters (Å, degrees): 10.6504 10.6504 10.6504 17.39 17.39 17.39
Positions (direct):
Na 0.0000 0.0000 0.0000
Sc 0.1051 0.1051 0.1051
Sc 0.8949 0.8949 0.8949
Os 0.5000 0.5000 0.5000

***

Which of them is most stable? Easy: 1).

***

1) Crystalline NaOs3Se at its relaxed geometry. Source: Alexandria, functional PBE.

Output
Crystal system ... cubic
Space-group type ... Pm-3m

Lattice parameters (Å, degrees): 4.5852 4.5852 4.5852 90.00 90.00 90.00
Positions (direct):
Na 0.0000 0.0000 0.0000
Os 0.0000 0.5000 0.5000
Os 0.5000 0.0000 0.5000
Os 0.5000 0.5000 0.0000
Se 0.5000 0.5000 0.5000

***

2) Crystalline NaOs3Se at its relaxed geometry. Source: Alexandria, functional PBE.

Output
Crystal system ... cubic
Space-group type ... Pm-3m

Lattice parameters (Å, degrees): 4.5058 4.5058 4.5058 90.00 90.00 90.00
Positions (direct):
Na 0.0000 0.0000 0.0000
Os 0.0000 0.0000 0.5000
Os 0.0000 0.5000 0.0000
Os 0.5000 0.0000 0.0000
Se 0.5000 0.5000 0.5000

***

Which of them is most stable? Easy: 1).

***

1) Crystalline Na2OsSe2 at its relaxed geometry. Source: Alexandria, functional PBE.

Output
Crystal system ... tetragonal
Space-group type ... P4/mbm

Lattice parameters (Å, degrees): 7.6060 7.6060 3.2097 90.00 90.00 90.00
Positions (direct):
Na 0.1128 0.3872 0.0000
Na 0.3872 0.8872 0.0000
Na 0.6128 0.1128 0.0000
Na 0.8872 0.6128 0.0000
Os 0.0000 0.0000 0.0000
Os 0.5000 0.5000 0.0000
Se 0.1935 0.6935 0.5000
Se 0.3065 0.1935 0.5000
Se 0.6935 0.8065 0.5000
Se 0.8065 0.3065 0.5000

***

2) Crystalline Na2OsSe2 at its relaxed geometry. Source: Alexandria, functional PBE.

Output
Crystal system ... tetragonal
Space-group type ... I4/mmm

Lattice parameters (Å, degrees): 9.1519 9.1519 9.1519 156.39 156.39 33.64
Positions (direct):
Na 0.1035 0.1035 0.0000
Na 0.8965 0.8965 0.0000
Os 0.5000 0.5000 0.0000
Se 0.2500 0.7500 0.5000
Se 0.7500 0.2500 0.5000

***

Which of them is most stable? Easy: 1).

***

1) Crystalline NaOs2Se2 at its relaxed geometry. Source: Alexandria, functional PBE.

Output
Crystal system ... tetragonal
Space-group type ... I4/mmm

Lattice parameters (Å, degrees): 5.5351 5.5351 5.5351 130.48 130.48 72.64
Positions (direct):
Na 0.0000 0.0000 0.0000
Os 0.3625 0.3625 0.0000
Os 0.6375 0.6375 0.0000
Se 0.2500 0.7500 0.5000
Se 0.7500 0.2500 0.5000

***

2) Crystalline NaOs2Se2 at its relaxed geometry. Source: Alexandria, functional PBE.

Output
Crystal system ... tetragonal
Space-group type ... P4/mbm

Lattice parameters (Å, degrees): 7.5331 7.5331 3.0133 90.00 90.00 90.00
Positions (direct):
Na 0.0000 0.0000 0.0000
Na 0.5000 0.5000 0.0000
Os 0.1279 0.3721 0.0000
Os 0.3721 0.8721 0.0000
Os 0.6279 0.1279 0.0000
Os 0.8721 0.6279 0.0000
Se 0.1732 0.6732 0.5000
Se 0.3268 0.1732 0.5000
Se 0.6732 0.8268 0.5000
Se 0.8268 0.3268 0.5000

***

Which of them is most stable? Easy: 1).

***

1) Crystalline NaSi3Os at its relaxed geometry. Source: Alexandria, functional PBE.

Output
Crystal system ... cubic
Space-group type ... Pm-3m

Lattice parameters (Å, degrees): 4.6087 4.6087 4.6087 90.00 90.00 90.00
Positions (direct):
Na 0.0000 0.0000 0.0000
Si 0.0000 0.0000 0.5000
Si 0.0000 0.5000 0.0000
Si 0.5000 0.0000 0.0000
Os 0.5000 0.5000 0.5000

***

2) Crystalline NaSi3Os at its relaxed geometry. Source: Alexandria, functional PBE.

Output
Crystal system ... cubic
Space-group type ... Pm-3m

Lattice parameters (Å, degrees): 4.7270 4.7270 4.7270 90.00 90.00 90.00
Positions (direct):
Na 0.0000 0.0000 0.0000
Si 0.0000 0.5000 0.5000
Si 0.5000 0.0000 0.5000
Si 0.5000 0.5000 0.0000
Os 0.5000 0.5000 0.5000

***

Which of them is most stable? Easy: 2).

***

1) Crystalline Na3SiOs at its relaxed geometry. Source: Alexandria, functional PBE.

Output
Crystal system ... cubic
Space-group type ... Pm-3m

Lattice parameters (Å, degrees): 5.4260 5.4260 5.4260 90.00 90.00 90.00
Positions (direct):
Na 0.0000 0.0000 0.5000
Na 0.0000 0.5000 0.0000
Na 0.5000 0.0000 0.0000
Si 0.5000 0.5000 0.5000
Os 0.0000 0.0000 0.0000

***

2) Crystalline Na3SiOs at its relaxed geometry. Source: Alexandria, functional PBE.

Output
Crystal system ... cubic
Space-group type ... Pm-3m

Lattice parameters (Å, degrees): 5.4783 5.4783 5.4783 90.00 90.00 90.00
Positions (direct):
Na 0.0000 0.0000 0.5000
Na 0.0000 0.5000 0.0000
Na 0.5000 0.0000 0.0000
Si 0.0000 0.0000 0.0000
Os 0.5000 0.5000 0.5000

***

Which of them is most stable? Easy: 2).

***

1) Crystalline NaSm2Os at its relaxed geometry. Source: Alexandria, functional PBE.

Output
Crystal system ... tetragonal
Space-group type ... P4/mmm

Lattice parameters (Å, degrees): 3.4605 3.4605 9.6744 90.00 90.00 90.00
Positions (direct):
Na 0.0000 0.0000 0.0000
Sm 0.5000 0.5000 0.3248
Sm 0.5000 0.5000 0.6752
Os 0.0000 0.0000 0.5000

***

2) Crystalline NaSm2Os at its relaxed geometry. Source: Alexandria, functional PBE.

Output
Crystal system ... trigonal
Space-group type ... R-3m

Lattice parameters (Å, degrees): 9.4775 9.4775 9.4775 25.16 25.16 25.16
Positions (direct):
Na 0.0000 0.0000 0.0000
Sm 0.2198 0.2198 0.2198
Sm 0.7802 0.7802 0.7802
Os 0.5000 0.5000 0.5000

***

Which of them is most stable? Easy: 1).

***

1) Crystalline Na2SrOs at its relaxed geometry. Source: Alexandria, functional PBE.

Output
Crystal system ... cubic
Space-group type ... Fm-3m

Lattice parameters (Å, degrees): 5.1900 5.1900 5.1900 60.00 60.00 60.00
Positions (direct):
Na 0.2500 0.2500 0.2500
Na 0.7500 0.7500 0.7500
Sr 0.0000 0.0000 0.0000
Os 0.5000 0.5000 0.5000

***

2) Crystalline Na2SrOs at its relaxed geometry. Source: Alexandria, functional PBE.

Output
Crystal system ... tetragonal
Space-group type ... I-42d

Lattice parameters (Å, degrees): 12.0501 12.0501 12.0501 159.12 159.12 29.69
Positions (direct):
Na 0.0845 0.6250 0.9595
Na 0.3750 0.3345 0.4595
Na 0.6655 0.1250 0.0405
Na 0.8750 0.9155 0.5405
Sr 0.2500 0.7500 0.5000
Sr 0.5000 0.5000 0.0000
Os 0.0000 0.0000 0.0000
Os 0.7500 0.2500 0.5000

***

Which of them is most stable? Easy: 1).